# AcVCl2 GGA-PBE optimized geometry
# E_form (uncorrected) in eV per atom: -0.639
data_AcVCl2
_chemical_formula_sum 'Ac3 V3 Cl6'
_space_group_name_H-M_alt 'R -3 m'
_space_group_IT_number 166
_space_group_name_Hall '-R 3 2"'
_cell_length_a 3.8436
_cell_length_b 3.8436
_cell_length_c 26.4086
_cell_angle_alpha 90.00
_cell_angle_beta 90.00
_cell_angle_gamma 120.00
loop_
_atom_site_label
_atom_site_fract_x
_atom_site_fract_y
_atom_site_fract_z
Ac1 0.0000 0.0000 0.0000
V1 0.0000 0.0000 0.5000
Cl1 0.0000 0.0000 0.1182